Ti3Cr2CoP6O24: optimized geometry, PBE+U. Values from VASP.

- Space-group type: R3 (146)
- VASP energy: -277.12 eV per formula unit

```
&SYSTEM
  ibrav = 0, nat = 36, ntyp = 5
/
ATOMIC_SPECIES
Ti 47.87 Ti.upf
Cr 52.00 Cr.upf
Co 58.93 Co.upf
P 30.97 P.upf
O 16.00 O.upf
ATOMIC_POSITIONS crystal
Ti 0.0000 0.0000 0.0000
Ti 0.2107 0.2107 0.2107
Ti 0.7087 0.7087 0.7087
Cr 0.3572 0.3572 0.3572
Cr 0.8560 0.8560 0.8560
Co 0.4983 0.4983 0.4983
P 0.1027 0.8122 0.3984
P 0.3106 0.6015 0.8983
P 0.3984 0.1027 0.8122
P 0.6015 0.8983 0.3106
P 0.8122 0.3984 0.1027
P 0.8983 0.3106 0.6015
O 0.0259 0.8709 0.2419
O 0.0952 0.3022 0.4381
O 0.1152 0.7644 0.9297
O 0.1639 0.9754 0.3554
O 0.2419 0.0259 0.8709
O 0.2636 0.6221 0.3995
O 0.3022 0.4381 0.0952
O 0.3386 0.5448 0.7451
O 0.3554 0.1639 0.9754
O 0.3995 0.2636 0.6221
O 0.4381 0.0952 0.3022
O 0.4752 0.6642 0.8513
O 0.5448 0.7451 0.3386
O 0.5937 0.9411 0.7957
O 0.6221 0.3995 0.2636
O 0.6642 0.8513 0.4752
O 0.7451 0.3386 0.5448
O 0.7644 0.9297 0.1152
O 0.7957 0.5937 0.9411
O 0.8513 0.4752 0.6642
O 0.8709 0.2419 0.0259
O 0.9297 0.1152 0.7644
O 0.9411 0.7957 0.5937
O 0.9754 0.3554 0.1639
CELL_PARAMETERS angstrom
4.3221 2.4954 7.0210
-4.3221 2.4954 7.0210
0.0000 -4.9907 7.0210
```